# 1
VASP calculation (GGA-PBE) on crystalline Ac8Sn5Ru at its relaxed geometry.

a = 9.9943 Å, b = 9.9943 Å, c = 10.2207 Å
α = 90.00°, β = 90.00°, γ = 90.00°
With the nearest neighbours (Å) after each atom.
Space group I-4 (No. 82)
Unique sites:
1 Ac 0.0645 0.2120 0.3001 [8 per cell]  1 Ru 2.99, 1 Sn 3.34
2 Ac 0.0688 0.3227 0.9422 [8 per cell]  5 Sn 3.34-3.70, 1 Ru 3.67
3 Sn 0.0000 0.0000 0.0000 [2 per cell]  4 Ac 3.35
4 Sn 0.1195 0.2471 0.6253 [8 per cell]  7 Ac 3.34-3.70
5 Ru 0.0000 0.5000 0.2500 [2 per cell]  4 Ac 2.99

Summary:
Total DFT energy (no corrections)   -4.99 eV/atom
Fermi-level density of states   19.8 states/eV/cell
V   36.5 A^3/atom
Total magnetic moment   0.00 μB/f.u.
DFT formation energy   -546 meV/atom

---

# 2
VASP calculation (GGA-PBE) on crystalline Na2LiLa at its relaxed geometry.

a = 8.0507 Å, b = 8.0507 Å, c = 8.0507 Å
α = 90.00°, β = 90.00°, γ = 90.00°
With the nearest neighbours (Å) after each atom.
Space group Fm-3m (No. 225)
Unique sites:
1 Na 0.2500 0.2500 0.2500 [8 per cell]  4 La 3.49, 4 Li 3.49
2 Li 0.0000 0.0000 0.0000 [4 per cell]  8 Na 3.49
3 La 0.0000 0.0000 0.5000 [4 per cell]  8 Na 3.49

Summary:
Total DFT energy (no corrections)   -2.05 eV/atom
Fermi-level density of states   20.0 states/eV/cell
Energy relative to the lowest polymorph listed for this composition   0.1644 eV per atom
V   32.6 A^3/atom
Total magnetic moment   0.00 μB/f.u.
DFT formation energy   319 meV/atom

---

# 3
VASP calculation (GGA-PBE) on crystalline HfZrN3 at its relaxed geometry.

a = 5.6622 Å, b = 5.6622 Å, c = 2.9503 Å
α = 90.00°, β = 90.00°, γ = 120.00°
With the nearest neighbours (Å) after each atom.
Space group P-6m2 (No. 187)
Unique sites:
1 Hf 0.0000 0.0000 0.0000 [1 per cell]  6 N 2.19
2 Zr 0.6667 0.3333 0.0000 [1 per cell]  6 N 2.22
3 N 0.3293 0.1647 0.5000 [3 per cell]  2 Hf 2.19, 2 Zr 2.22

Summary:
Total DFT energy (no corrections)   -9.85 eV/atom
Fermi-level density of states   1.7 states/eV/cell
Formation energy (no corrections)   -1.154 eV per atom
V   16.4 A^3/atom
Total magnetic moment   0.00 μB/f.u.

---

Which value of Fermi-level density of states does entry 3 give? 1.7 states/eV/cell